# Rb2PaMoO6 (PBE with a Hubbard U, relaxed)
# Calculated total energy in eV for the cell shown: -144.64
data_Rb2PaMoO6
_chemical_formula_sum 'Rb4 Pa2 Mo2 O12'
_symmetry_space_group_name_H-M 'I 4/m m m'
_symmetry_Int_Tables_number 139
_symmetry_space_group_name_Hall '-I 4 2'
_cell_length_a 5.9939
_cell_length_b 5.9939
_cell_length_c 8.5490
_cell_angle_alpha 90.00
_cell_angle_beta 90.00
_cell_angle_gamma 90.00
loop_
_atom_site_label
_atom_site_fract_x
_atom_site_fract_y
_atom_site_fract_z
Rb1 0.0000 0.5000 0.2500
Pa1 0.0000 0.0000 0.0000
Mo1 0.0000 0.0000 0.5000
O1 0.0000 0.0000 0.2759
O2 0.2473 0.2473 0.5000